[1]
Pd6PbAu3: optimized geometry, GGA-PBE.

abc: 7.6701 4.7031 10.1412
angles: 90.00 111.67 90.00
Positions (direct):
Pd: 0.0403 0.2500 0.4285
Pd: 0.1364 0.2500 0.7193
Pd: 0.1685 0.7500 0.1743
Pd: 0.2337 0.2500 0.0293
Pd: 0.3643 0.7500 0.7724
Pd: 0.4355 0.2500 0.6269
Pd: 0.5645 0.7500 0.3731
Pd: 0.6357 0.2500 0.2276
Pd: 0.7663 0.7500 0.9707
Pd: 0.8315 0.2500 0.8257
Pd: 0.8636 0.7500 0.2807
Pd: 0.9597 0.7500 0.5715
Pb: 0.0681 0.7500 0.8673
Pb: 0.9319 0.2500 0.1327
Au: 0.2573 0.7500 0.4732
Au: 0.3470 0.2500 0.3326
Au: 0.4783 0.7500 0.0799
Au: 0.5217 0.2500 0.9201
Au: 0.6530 0.7500 0.6674
Au: 0.7427 0.2500 0.5268

Calculated values
* total magnetization: 0.00 Bohr magnetons per cell
* relative energy among the computed polymorphs: 0.000 eV/atom
* uncorrected energy: -4.603 eV/atom


[2]
Pd4PbAu: optimized geometry, GGA-PBE.

abc: 4.9345 4.9345 5.9581
angles: 106.46 106.46 48.30
Positions (direct):
Pd: 0.1647 0.1647 0.3281
Pd: 0.1690 0.1690 0.8379
Pd: 0.8310 0.8310 0.1621
Pd: 0.8353 0.8353 0.6719
Pb: 0.5000 0.5000 0.5000
Au: 0.5000 0.5000 0.0000

Calculated values
* total magnetization: 0.00 Bohr magnetons per cell
* relative energy among the computed polymorphs: 0.000 eV/atom
* uncorrected energy: -4.802 eV/atom


[3]
Pd2PbAu3: optimized geometry, GGA-PBE.

abc: 5.1508 5.1508 9.2635
angles: 100.04 100.04 109.83
Positions (direct):
Pd: 0.0449 0.2947 0.0910
Pd: 0.2947 0.0449 0.5910
Pd: 0.7053 0.9551 0.4090
Pd: 0.9551 0.7053 0.9090
Pb: 0.1252 0.8748 0.2500
Pb: 0.8748 0.1252 0.7500
Au: 0.2145 0.4643 0.4280
Au: 0.3757 0.6243 0.7500
Au: 0.4643 0.2145 0.9280
Au: 0.5357 0.7855 0.0720
Au: 0.6243 0.3757 0.2500
Au: 0.7855 0.5357 0.5720

Calculated values
* total magnetization: 0.00 Bohr magnetons per cell
* uncorrected energy: -4.078 eV/atom